Entry 1:
The following is a PBE calculation of a relaxed NdDy2O3 crystal, from the Open Quantum Materials Database.

Structure (POSCAR):
```
NdDy2O3
1.0
3.438 0.000 0.000
-1.719 2.977 0.000
0.000 0.000 8.491
Dy Nd O
2 1 3
Cartesian
1.719 0.992 2.849 Dy
0.000 1.985 5.642 Dy
0.000 0.000 0.000 Nd
0.000 1.985 1.653 O
0.000 0.000 4.245 O
1.719 0.992 6.838 O
```



Entry 2:
The following is a PBE calculation of a relaxed Nd2Dy2O5 crystal, from the Open Quantum Materials Database.

Structure (POSCAR):
```
Nd2Dy2O5
1.0
-0.664 -4.712 -5.983
-2.573 -2.598 2.332
-3.471 2.217 -1.360
Dy Nd O
2 2 5
Cartesian
-3.173 -1.261 -0.873 Dy
-3.535 -3.833 -4.139 Dy
0.000 0.000 0.000 Nd
-0.332 -2.356 -2.992 Nd
-1.447 -2.435 -0.277 O
-1.790 -4.875 -3.375 O
-1.896 -0.028 -2.123 O
-2.239 -2.467 -5.221 O
-3.354 -2.547 -2.506 O
```



no.,DFT total energy (eV/cell)
1,-45.6
2,-67.8